(1)
A relaxed TiZnHg crystal. Source: Alexandria via LeMat-Bulk, functional GGA-PBE.

Summary:
Crystal system: monoclinic
Energy of formation from the pure elements (eV per atom): 0.01
E (eV per cell): -18.88
Space group: C2/m, No. 12
E above lowest polymorph (meV per atom): 14.2
D(E_F) (states/eV/f.u.): 1.78

abc: 3.018 4.992 7.768
angles: 97.84 90.00 107.59
Atoms (fractional coordinates):
1 Hg 0.350 0.701 0.385
2 Hg 0.650 0.299 0.615
3 Zn 0.605 0.210 0.226
4 Zn 0.395 0.790 0.774
5 Ti 0.870 0.739 0.066
6 Ti 0.130 0.261 0.934

(2)
A relaxed NiHg2Te crystal. Source: Alexandria via LeMat-Bulk, functional GGA-PBE.

Summary:
Crystal system: monoclinic
E (eV per cell): -8.90
Formation energy without anion corrections (eV per atom): 0.16
Space group: C2/m, No. 12
D(E_F) (states/eV/f.u.): 2.73

abc: 7.377 7.377 4.379
angles: 72.41 72.41 23.92
Atoms (fractional coordinates):
1 Hg 0.066 0.066 0.933
2 Hg 0.434 0.434 0.567
3 Ni 0.750 0.750 0.750
4 Te 0.250 0.250 0.250

(3)
A relaxed KPm4PrO8 crystal. Source: Alexandria via LeMat-Bulk, functional GGA-PBE.

Summary:
Crystal system: trigonal
E (eV per cell): -107.61
Formation energy without anion corrections (eV per atom): -3.08
Space group: R3m, No. 160
D(E_F) (states/eV/f.u.): 0.00

abc: 7.160 7.160 7.198
angles: 60.18 60.18 60.00
Atoms (fractional coordinates):
1 K 0.375 0.375 0.876
2 Pm 0.625 0.625 0.125
3 Pm 0.003 0.491 0.503
4 Pm 0.491 0.003 0.503
5 Pm 0.003 0.003 0.503
6 Pr 0.002 0.002 0.993
7 O 0.231 0.814 0.724
8 O 0.814 0.231 0.724
9 O 0.231 0.231 0.724
10 O 0.228 0.228 0.315
11 O 0.755 0.232 0.259
12 O 0.232 0.755 0.259
13 O 0.755 0.755 0.259
14 O 0.756 0.756 0.731

(4)
A relaxed Ba6RhS2I3 crystal. Source: Alexandria via LeMat-Bulk, functional GGA-PBE.

Summary:
Crystal system: monoclinic
E (eV per cell): -48.88
Formation energy without anion corrections (eV per atom): -1.42
Space group: C2/m, No. 12
D(E_F) (states/eV/f.u.): 7.38

abc: 8.118 8.118 8.805
angles: 98.92 98.92 119.88
Each line ends with the local moment (μB).
Atoms (fractional coordinates):
1 Ba 0.934 0.611 0.803  0.09
2 Ba 0.740 0.740 0.199  0.09
3 Ba 0.066 0.389 0.197  0.09
4 Ba 0.611 0.934 0.803  0.09
5 Ba 0.260 0.260 0.801  0.09
6 Ba 0.389 0.066 0.197  0.09
7 Rh 0.000 0.000 0.000  -0.08
8 S 0.333 0.667 0.000  0.00
9 S 0.667 0.333 0.000  0.00
10 I 0.169 0.831 0.500  0.00
11 I 0.831 0.169 0.500  0.00
12 I 0.500 0.500 0.500  0.00

(5)
A relaxed TaCdP crystal. Source: Alexandria via LeMat-Bulk, functional GGA-PBE.

Summary:
Crystal system: cubic
Energy of formation from the pure elements (eV per atom): 0.40
E (eV per cell): -16.97
Space group: F-43m, No. 216
E above lowest polymorph (meV per atom): 770.0
D(E_F) (states/eV/f.u.): 3.15

abc: 4.305 4.305 4.305
angles: 60.00 60.00 60.00
Atoms (fractional coordinates):
1 Cd 0.500 0.500 0.500
2 P 0.750 0.750 0.750
3 Ta 0.000 0.000 0.000

(6)
A relaxed BiSbTe2Rh crystal. Source: Alexandria via LeMat-Bulk, functional GGA-PBE.

Summary:
Crystal system: tetragonal
E (eV per cell): -14.92
Formation energy without anion corrections (eV per atom): 1.34
Space group: P4/mmm, No. 123
E above lowest polymorph (meV per atom): 1128.8
D(E_F) (states/eV/f.u.): 8.29

abc: 5.875 5.875 5.750
angles: 90.00 90.00 90.00
Each line ends with the local moment (μB).
Atoms (fractional coordinates):
1 Sb 0.000 0.000 0.500  -0.03
2 Te 0.000 0.500 0.000  0.08
3 Te 0.500 0.000 0.000  0.08
4 Rh 0.500 0.500 0.500  1.43
5 Bi 0.000 0.000 0.000  0.01